The following is a DFT calculation (GGA-PBE) of a geometry-optimized InPI2 structure.

a b c (Å): 9.6031 9.6031 9.6031
angles (deg): 140.39 140.39 57.26
Sites, in units of the cell vectors:
1 In 0.0000 0.0000 0.0000
2 In 0.7500 0.2500 0.5000
3 P 0.2500 0.7500 0.5000
4 P 0.5000 0.5000 0.0000
5 I 0.2270 0.6250 0.1020
6 I 0.3750 0.4770 0.6020
7 I 0.5230 0.1250 0.8980
8 I 0.8750 0.7730 0.3980

Computed properties:
Space-group type   No. 122
Energy above the lowest structure with this stoichiometry   0 meV/atom
DOS at the Fermi energy   0.4 states/eV per cell
Total magnetization   0.00 μB/f.u.
DFT total energy   -2.49 eV/atom



The following is a DFT calculation (GGA-PBE) of a geometry-optimized Pm2Nd5SmMg structure.

a b c (Å): 10.5634 10.5634 10.8541
angles (deg): 90.00 90.00 149.27
Sites, in units of the cell vectors:
1 Pm 0.1146 0.8854 0.5393
2 Pm 0.1146 0.8854 0.9607
3 Pm 0.8854 0.1146 0.0393
4 Pm 0.8854 0.1146 0.4607
5 Nd 0.0139 0.9861 0.2500
6 Nd 0.2883 0.7117 0.5512
7 Nd 0.2883 0.7117 0.9488
8 Nd 0.3803 0.6197 0.2500
9 Nd 0.5000 0.5000 0.0000
10 Nd 0.5000 0.5000 0.5000
11 Nd 0.6197 0.3803 0.7500
12 Nd 0.7117 0.2883 0.0512
13 Nd 0.7117 0.2883 0.4488
14 Nd 0.9861 0.0139 0.7500
15 Sm 0.1999 0.8001 0.2500
16 Sm 0.8001 0.1999 0.7500
17 Mg 0.4051 0.5949 0.7500
18 Mg 0.5949 0.4051 0.2500

Computed properties:
Space-group type   No. 63
DOS at the Fermi energy   27.0 states/eV per cell
Total magnetization   0.00 μB/f.u.
Formation energy   8.5 kJ per mole of atoms
DFT total energy   -4.32 eV/atom